# 1
A plane-wave DFT calculation with PBE was carried out for a relaxed TbUMn2 crystal.

a = 3.278 Å, b = 3.278 Å, c = 6.921 Å
α = 90.00°, β = 90.00°, γ = 90.00°
Sites, in units of the cell vectors:
Tb: 0.000 0.000 0.000
U: 0.000 0.000 0.500
Mn: 0.500 0.500 0.308
Mn: 0.500 0.500 0.692

Formation energy in eV per atom: 0.111
V in A^3/atom: 18.59
E_tot in eV for the cell shown: -33.82
Space group: P4/mmm

***

# 2
A plane-wave DFT calculation with PBE was carried out for a relaxed YTlHg2 crystal.

a = 6.710 Å, b = 6.710 Å, c = 6.710 Å
α = 103.46°, β = 103.46°, γ = 122.31°
Sites, in units of the cell vectors:
Y: 0.000 0.000 0.000
Y: 0.750 0.250 0.500
Tl: 0.250 0.750 0.500
Tl: 0.500 0.500 0.000
Hg: 0.128 0.125 0.503
Hg: 0.375 0.872 0.997
Hg: 0.622 0.625 0.497
Hg: 0.875 0.378 0.003

Formation energy in eV per atom: -0.168
V in A^3/atom: 27.95
E_tot in eV for the cell shown: -20.21
Space group: I-42d